Entry 1:
Entry from Alexandria via LeMat-Bulk: a relaxed structure of NaIrOs (PBE).

Total DFT energy (no corrections) = -40.54 eV per cell
DFT formation energy = 0.3797 eV/atom
Density = 12.24 g cm⁻³
Total magnetic moment = 0.000 μB/atom
D(E_F) = 3.34 states/eV per cell
SG = Imm2, No. 44
Crystal system = orthorhombic

```
NaIrOs
1.0
-1.760 -1.185 5.102
-1.100 -5.047 -1.963
3.510 -2.137 -1.045
Na Ir Os
2 2 2
Direct
0.337 0.357 0.405 Na
0.635 0.058 0.204 Na
0.056 0.973 0.957 Ir
0.721 0.637 0.957 Ir
0.234 0.773 0.645 Os
0.920 0.460 0.645 Os
```


Entry 2:
Entry from Alexandria via LeMat-Bulk: a relaxed structure of NaIr3Os (PBE).

Total DFT energy (no corrections) = -32.12 eV per cell
DFT formation energy = 1.4025 eV/atom
Density = 11.96 g cm⁻³
Total magnetic moment = 0.000 μB/atom
D(E_F) = 4.42 states/eV per cell
SG = Pm-3m, No. 221
Crystal system = cubic

```
NaIr3Os
1.0
4.787 0.000 0.000
0.000 4.787 0.000
0.000 0.000 4.787
Na Ir Os
1 3 1
Direct
0.500 0.500 0.500 Na
0.000 0.500 0.000 Ir
0.000 0.000 0.500 Ir
0.500 0.000 0.000 Ir
0.000 0.000 0.000 Os
```


Entry 3:
Entry from Alexandria via LeMat-Bulk: a relaxed structure of NaIrOs (PBE).

Total DFT energy (no corrections) = -38.58 eV per cell
DFT formation energy = 0.7064 eV/atom
Density = 13.45 g cm⁻³
Total magnetic moment = 0.000 μB/atom
D(E_F) = 4.06 states/eV per cell
SG = P6_3mc, No. 186
Crystal system = hexagonal

```
NaIrOs
1.0
3.786 -2.186 0.000
0.000 4.371 0.000
0.000 0.000 6.051
Na Ir Os
2 2 2
Direct
0.000 0.000 0.750 Na
0.000 0.000 0.250 Na
0.333 0.667 0.458 Ir
0.667 0.333 0.958 Ir
0.333 0.667 0.043 Os
0.667 0.333 0.543 Os
```


Entry 4:
Entry from Alexandria via LeMat-Bulk: a relaxed structure of NaIrOs (PBE).

Total DFT energy (no corrections) = -18.55 eV per cell
DFT formation energy = 0.9543 eV/atom
Density = 12.58 g cm⁻³
Total magnetic moment = 0.000 μB/atom
D(E_F) = 2.99 states/eV per cell
SG = F-43m, No. 216
Crystal system = cubic

```
NaIrOs
1.0
0.774 0.480 4.130
-1.502 3.379 2.054
-3.134 -0.451 2.805
Na Ir Os
1 1 1
Direct
0.250 0.250 0.250 Na
0.500 0.500 0.500 Ir
0.750 0.750 0.750 Os
```


Please write out number 3 again, unchanged.
Entry from Alexandria via LeMat-Bulk: a relaxed structure of NaIrOs (PBE).

Total DFT energy (no corrections) = -38.58 eV per cell
DFT formation energy = 0.7064 eV/atom
Density = 13.45 g cm⁻³
Total magnetic moment = 0.000 μB/atom
D(E_F) = 4.06 states/eV per cell
SG = P6_3mc, No. 186
Crystal system = hexagonal

```
NaIrOs
1.0
3.786 -2.186 0.000
0.000 4.371 0.000
0.000 0.000 6.051
Na Ir Os
2 2 2
Direct
0.000 0.000 0.750 Na
0.000 0.000 0.250 Na
0.333 0.667 0.458 Ir
0.667 0.333 0.958 Ir
0.333 0.667 0.043 Os
0.667 0.333 0.543 Os
```